NbGe2Ir | Alexandria | GGA-PBE | relaxed; symmetry = I-42d; energy of formation from the pure elements = 0.111 eV per atom; total DFT energy (no corrections) = -6.93 eV/atom
1.0
7.0488 0.0000 0.0000
0.0000 7.0488 0.0000
0.0000 0.0000 5.6483
Nb Ge Ir
4 8 4
direct
0.0000 0.0000 0.0000
0.0000 0.5000 0.2500
0.5000 0.0000 0.7500
0.5000 0.5000 0.5000
0.2213 0.2500 0.6250
0.2500 0.7213 0.8750
0.2500 0.7787 0.3750
0.2787 0.2500 0.1250
0.7213 0.7500 0.1250
0.7500 0.2213 0.3750
0.7500 0.2787 0.8750
0.7787 0.7500 0.6250
0.0000 0.0000 0.5000
0.0000 0.5000 0.7500
0.5000 0.0000 0.2500
0.5000 0.5000 0.0000

---

NbGeIr | Alexandria | GGA-PBE | relaxed; symmetry = Amm2; energy of formation from the pure elements = -0.287 eV per atom; total DFT energy (no corrections) = -8.14 eV/atom
1.0
2.9538 0.0000 0.0000
0.0000 2.8772 0.0000
0.0000 0.0000 11.7797
Nb Ge Ir
2 2 2
direct
0.0000 0.0000 0.0000
0.0000 0.5000 0.5000
0.5000 0.0000 0.3331
0.5000 0.5000 0.8331
0.5000 0.0000 0.6538
0.5000 0.5000 0.1538

---

Nd2NbGe4Ir3 | Alexandria | GGA-PBE | relaxed; symmetry = P-4m2; energy of formation from the pure elements = -0.675 eV per atom; total DFT energy (no corrections) = -7.14 eV/atom
1.0
4.2373 0.0000 0.0000
0.0000 4.2373 0.0000
0.0000 0.0000 10.7452
Nd Nb Ge Ir
2 1 4 3
direct
0.0000 0.5000 0.2398
0.5000 0.0000 0.7602
0.0000 0.0000 0.5000
0.0000 0.0000 0.0000
0.0000 0.5000 0.6463
0.5000 0.0000 0.3537
0.5000 0.5000 0.0000
0.0000 0.5000 0.8773
0.5000 0.0000 0.1227
0.5000 0.5000 0.5000

---

What is the formula in the third record? Nd2NbGe4Ir3

---

Look up the energy of formation from the pure elements of the first one. 0.111 eV per atom